Here is MnAl4Co5 after structural relaxation from Alexandria. Energies are from GGA-PBE.

The structure in POSCAR format:
```
MnAl4Co5
1.0
-1.1214 1.6887 2.0123
-2.3176 0.3941 -1.6222
-6.1794 -11.3406 6.0733
Mn Al Co
1 4 5
direct
0.0000 0.0000 0.0000
0.0000 0.0000 0.1982
0.0000 0.0000 0.3996
0.0000 0.0000 0.6004
0.0000 0.0000 0.8018
0.5000 0.5000 0.0990
0.5000 0.5000 0.3002
0.5000 0.5000 0.5000
0.5000 0.5000 0.6998
0.5000 0.5000 0.9010
```

Calculated values
Magnetic moment ... 0.458 μB/atom
E_form ... -464 kJ/mol of formula units
ρ ... 6.525 g/cm³